1.
HfGePt, optimized geometry, DFT PBE-GGA; crystal system = hexagonal; raw total energy = -69.7 eV per cell; V = 51.5 Å³/f.u.
1.0
-6.276 0.360 -2.484
2.540 -5.964 1.916
-1.394 0.564 3.604
Hf Ge Pt
3 3 3
direct
0.000 0.586 0.500 Hf
0.586 0.000 0.500 Hf
0.414 0.414 0.500 Hf
0.000 0.000 0.500 Ge
0.333 0.667 0.000 Ge
0.667 0.333 0.000 Ge
0.737 0.737 0.000 Pt
0.000 0.263 0.000 Pt
0.263 0.000 0.000 Pt

---

2.
HfGePt, optimized geometry, DFT PBE-GGA; crystal system = hexagonal; raw total energy = -67.2 eV per cell; V = 52.6 Å³/f.u.
1.0
-4.509 6.084 -0.989
2.500 -3.924 -6.056
-2.519 -1.842 0.154
Pt Hf Ge
3 3 3
direct
0.000 0.643 0.500 Pt
0.643 0.000 0.500 Pt
0.357 0.357 0.500 Pt
0.000 0.298 0.000 Hf
0.702 0.702 0.000 Hf
0.298 0.000 0.000 Hf
0.667 0.333 0.000 Ge
0.333 0.667 0.000 Ge
0.000 0.000 0.500 Ge

---

3.
HfScGe2Pt4, optimized geometry, DFT PBE-GGA; crystal system = orthorhombic; raw total energy = -57.1 eV per cell; V = 135.5 Å³/f.u.
1.0
-2.340 6.664 -0.582
1.181 0.870 5.210
4.139 1.719 3.036
Ge Hf Sc Pt
2 1 1 4
direct
0.500 0.265 0.265 Ge
0.000 0.735 0.735 Ge
0.000 0.454 0.454 Hf
0.500 0.547 0.547 Sc
0.297 0.869 0.869 Pt
0.703 0.869 0.869 Pt
0.800 0.131 0.131 Pt
0.200 0.131 0.131 Pt

---

4.
Hf2SnGePt2, optimized geometry, DFT PBE-GGA; crystal system = monoclinic; raw total energy = -185.9 eV per cell; V = 123.6 Å³/f.u.
1.0
10.870 0.000 0.000
0.000 4.437 0.000
-3.628 0.000 10.250
Sn Hf Pt Ge
4 8 8 4
direct
0.001 0.000 0.751 Sn
0.375 0.500 0.876 Sn
0.624 0.500 0.625 Sn
0.875 0.500 0.373 Sn
0.502 0.000 0.750 Hf
0.251 0.000 0.005 Hf
0.878 0.500 0.882 Hf
0.127 0.500 0.621 Hf
0.372 0.500 0.372 Hf
0.745 0.000 0.495 Hf
0.002 0.000 0.250 Hf
0.623 0.500 0.125 Hf
0.251 0.000 0.745 Pt
0.128 0.500 0.373 Pt
0.875 0.500 0.625 Pt
0.630 0.500 0.880 Pt
0.002 0.000 0.006 Pt
0.494 0.000 0.495 Pt
0.374 0.500 0.129 Pt
0.745 0.000 0.244 Pt
0.499 0.000 0.250 Ge
0.251 0.000 0.499 Ge
0.126 0.500 0.127 Ge
0.751 0.000 0.002 Ge

---

5.
TmHfGe2Pt4, optimized geometry, DFT PBE-GGA; crystal system = orthorhombic; raw total energy = -55.5 eV per cell; V = 139.4 Å³/f.u.
1.0
7.110 0.000 0.000
0.000 1.920 5.104
0.000 -1.920 5.104
Pt Ge Tm Hf
4 2 1 1
direct
0.705 0.133 0.133 Pt
0.295 0.133 0.133 Pt
0.197 0.869 0.869 Pt
0.803 0.869 0.869 Pt
0.000 0.266 0.266 Ge
0.500 0.734 0.734 Ge
0.500 0.450 0.450 Tm
0.000 0.546 0.546 Hf

---

6.
PuHfGe, optimized geometry, DFT PBE-GGA; crystal system = cubic; relative energy among the computed polymorphs = 0.0 meV/atom; raw total energy = -29.0 eV per cell; V = 71.1 Å³/f.u.
1.0
0.000 3.288 3.288
3.288 0.000 3.288
3.288 3.288 0.000
Ge Hf Pu
1 1 1
direct
0.000 0.000 0.000 Ge
0.250 0.250 0.250 Hf
0.750 0.750 0.750 Pu

---

7.
RbHf3Ge5, optimized geometry, DFT PBE-GGA; crystal system = hexagonal; raw total energy = -55.1 eV per cell; V = 208.4 Å³/f.u.
1.0
5.911 0.000 0.000
-2.956 5.119 0.000
0.000 0.000 6.888
Hf Rb Ge
3 1 5
direct
0.500 0.500 0.500 Hf
0.000 0.500 0.500 Hf
0.500 0.000 0.500 Hf
0.000 0.000 0.000 Rb
0.667 0.333 0.821 Ge
0.333 0.667 0.179 Ge
0.333 0.667 0.821 Ge
0.000 0.000 0.500 Ge
0.667 0.333 0.179 Ge

---

8.
RbHfGe, optimized geometry, DFT PBE-GGA; crystal system = cubic; relative energy among the computed polymorphs = 861.8 meV/atom; raw total energy = -10.3 eV per cell; V = 92.1 Å³/f.u.
1.0
-1.223 -4.640 1.633
-3.177 -2.882 -2.701
1.740 -4.087 -2.442
Rb Ge Hf
1 1 1
direct
0.000 0.000 0.000 Rb
0.250 0.250 0.250 Ge
0.750 0.750 0.750 Hf

---

9.
RbHfGe, optimized geometry, DFT PBE-GGA; crystal system = cubic; relative energy among the computed polymorphs = 0.0 meV/atom; raw total energy = -12.9 eV per cell; V = 89.2 Å³/f.u.
1.0
1.347 1.870 4.455
-3.121 3.032 2.494
-2.254 -1.611 4.181
Ge Hf Rb
1 1 1
direct
0.000 0.000 0.000 Ge
0.250 0.250 0.250 Hf
0.750 0.750 0.750 Rb

---

10.
HfReGe2, optimized geometry, DFT PBE-GGA; crystal system = cubic; raw total energy = -31.1 eV per cell; V = 68.7 Å³/f.u.
1.0
-0.776 -4.484 -0.652
-3.343 -1.365 -2.845
1.061 -1.955 -4.023
Re Ge Hf
1 2 1
direct
0.750 0.750 0.750 Re
0.250 0.250 0.250 Ge
0.000 0.000 0.000 Ge
0.500 0.500 0.500 Hf

---

11.
Hf2ReGe2, optimized geometry, DFT PBE-GGA; crystal system = tetragonal; raw total energy = -88.3 eV per cell; V = 86.1 Å³/f.u.
1.0
6.647 0.000 0.000
0.000 6.647 0.000
0.000 0.000 3.898
Re Ge Hf
2 4 4
direct
0.500 0.500 0.000 Re
0.000 0.000 0.000 Re
0.635 0.135 0.000 Ge
0.135 0.365 0.000 Ge
0.865 0.635 0.000 Ge
0.365 0.865 0.000 Ge
0.671 0.829 0.500 Hf
0.829 0.329 0.500 Hf
0.329 0.171 0.500 Hf
0.171 0.671 0.500 Hf

---

12.
HfRe2Ge, optimized geometry, DFT PBE-GGA; crystal system = cubic; raw total energy = -38.6 eV per cell; V = 65.0 Å³/f.u.
1.0
-2.303 3.132 2.292
0.409 4.358 -1.101
-3.438 2.163 -1.967
Re Hf Ge
2 1 1
direct
0.750 0.750 0.750 Re
0.000 0.000 0.000 Re
0.250 0.250 0.250 Hf
0.500 0.500 0.500 Ge

---

13.
Hf9Re4Ge, optimized geometry, DFT PBE-GGA; crystal system = hexagonal; raw total energy = -298.1 eV per cell; V = 276.3 Å³/f.u.
1.0
8.583 0.000 0.000
-4.291 7.433 0.000
0.000 0.000 8.661
Hf Re Ge
18 8 2
direct
0.194 0.388 0.953 Hf
0.388 0.194 0.453 Hf
0.806 0.612 0.047 Hf
0.612 0.806 0.953 Hf
0.459 0.919 0.250 Hf
0.806 0.194 0.047 Hf
0.194 0.806 0.547 Hf
0.194 0.806 0.953 Hf
0.541 0.459 0.750 Hf
0.388 0.194 0.047 Hf
0.194 0.388 0.547 Hf
0.612 0.806 0.547 Hf
0.806 0.612 0.453 Hf
0.541 0.081 0.750 Hf
0.919 0.459 0.750 Hf
0.459 0.541 0.250 Hf
0.806 0.194 0.453 Hf
0.081 0.541 0.250 Hf
0.109 0.218 0.250 Re
0.891 0.782 0.750 Re
0.782 0.891 0.250 Re
0.000 0.000 0.500 Re
0.109 0.891 0.250 Re
0.218 0.109 0.750 Re
0.891 0.109 0.750 Re
0.000 0.000 0.000 Re
0.333 0.667 0.750 Ge
0.667 0.333 0.250 Ge

---

14.
HfGeS, optimized geometry, DFT PBE-GGA; crystal system = tetragonal; raw total energy = -43.7 eV per cell; V = 52.4 Å³/f.u.
1.0
3.629 0.000 0.000
0.000 3.629 0.000
0.000 0.000 7.959
Hf S Ge
2 2 2
direct
0.000 0.500 0.275 Hf
0.500 0.000 0.725 Hf
0.000 0.500 0.619 S
0.500 0.000 0.381 S
0.000 0.000 0.000 Ge
0.500 0.500 0.000 Ge

---

15.
HfGe2Sb, optimized geometry, DFT PBE-GGA; crystal system = cubic; raw total energy = -22.5 eV per cell; V = 86.0 Å³/f.u.
1.0
1.788 -3.342 3.191
-0.954 0.440 4.842
-3.069 -3.194 2.221
Sb Ge Hf
1 2 1
direct
0.750 0.750 0.750 Sb
0.250 0.250 0.250 Ge
0.000 0.000 0.000 Ge
0.500 0.500 0.500 Hf

---

16.
Hf3Zr3GeSb2, optimized geometry, DFT PBE-GGA; crystal system = hexagonal; relative energy among the computed polymorphs = 0.0 meV/atom; raw total energy = -74.3 eV per cell; V = 194.0 Å³/f.u.
1.0
7.548 0.000 0.000
-3.774 6.537 0.000
0.000 0.000 3.933
Ge Zr Hf Sb
1 3 3 2
direct
0.000 0.000 0.000 Ge
0.000 0.600 0.000 Zr
0.400 0.400 0.000 Zr
0.600 0.000 0.000 Zr
0.244 0.000 0.500 Hf
0.000 0.244 0.500 Hf
0.756 0.756 0.500 Hf
0.667 0.333 0.500 Sb
0.333 0.667 0.500 Sb

---

17.
HfZrGe2Sb2, optimized geometry, DFT PBE-GGA; crystal system = tetragonal; raw total energy = -39.2 eV per cell; V = 127.7 Å³/f.u.
1.0
3.839 0.000 0.000
0.000 3.839 0.000
0.000 0.000 8.667
Hf Sb Zr Ge
1 2 1 2
direct
0.000 0.000 0.249 Hf
0.500 0.500 0.386 Sb
0.000 0.000 0.612 Sb
0.500 0.500 0.750 Zr
0.000 0.500 0.001 Ge
0.500 0.000 0.001 Ge

---

18.
Hf3Zr3GeSb2, optimized geometry, DFT PBE-GGA; crystal system = hexagonal; relative energy among the computed polymorphs = 85.5 meV/atom; raw total energy = -73.5 eV per cell; V = 194.6 Å³/f.u.
1.0
7.576 0.000 0.000
-3.788 6.561 0.000
0.000 0.000 3.915
Sb Ge Zr Hf
2 1 3 3
direct
0.333 0.667 0.500 Sb
0.667 0.333 0.500 Sb
0.000 0.000 0.000 Ge
0.247 0.000 0.500 Zr
0.000 0.247 0.500 Zr
0.753 0.753 0.500 Zr
0.602 0.000 0.000 Hf
0.000 0.602 0.000 Hf
0.398 0.398 0.000 Hf

---

19.
HfScGe, optimized geometry, DFT PBE-GGA; crystal system = cubic; raw total energy = -21.9 eV per cell; V = 64.9 Å³/f.u.
1.0
0.000 3.190 3.190
3.190 0.000 3.190
3.190 3.190 0.000
Sc Ge Hf
1 1 1
direct
0.750 0.750 0.750 Sc
0.000 0.000 0.000 Ge
0.250 0.250 0.250 Hf

---

20.
HfScGe2, optimized geometry, DFT PBE-GGA; crystal system = cubic; raw total energy = -25.1 eV per cell; V = 78.3 Å³/f.u.
1.0
-3.893 -2.803 0.212
-3.180 0.572 3.552
-4.337 1.839 -0.933
Sc Hf Ge
1 1 2
direct
0.750 0.750 0.750 Sc
0.500 0.500 0.500 Hf
0.000 0.000 0.000 Ge
0.250 0.250 0.250 Ge

---

21.
Hf4SiGe, optimized geometry, DFT PBE-GGA; crystal system = tetragonal; raw total energy = -54.0 eV per cell; V = 114.3 Å³/f.u.
1.0
3.798 1.339 3.528
-2.618 3.723 -2.820
-3.813 -2.250 3.010
Ge Si Hf
1 1 4
direct
0.000 0.000 0.000 Ge
0.500 0.500 0.000 Si
0.594 0.406 0.500 Hf
0.906 0.094 0.500 Hf
0.094 0.594 0.188 Hf
0.406 0.906 0.812 Hf

---

22.
Hf3Si4Ge4, optimized geometry, DFT PBE-GGA; crystal system = orthorhombic; raw total energy = -69.8 eV per cell; V = 192.8 Å³/f.u.
1.0
-4.336 -5.902 -3.744
-8.071 0.049 1.583
7.039 2.752 -3.244
Ge Si Hf
4 4 3
direct
0.298 0.500 0.798 Ge
0.195 0.195 0.000 Ge
0.702 0.500 0.202 Ge
0.805 0.805 0.000 Ge
0.048 0.321 0.727 Si
0.593 0.321 0.273 Si
0.952 0.679 0.273 Si
0.407 0.679 0.727 Si
0.359 0.859 0.500 Hf
0.641 0.141 0.500 Hf
0.000 0.000 0.000 Hf

---

23.
Hf2SiGe2, optimized geometry, DFT PBE-GGA; crystal system = tetragonal; raw total energy = -36.0 eV per cell; V = 93.9 Å³/f.u.
1.0
7.267 -0.661 -2.584
7.329 -0.327 2.471
-7.467 -2.028 0.225
Si Hf Ge
1 2 2
direct
0.000 0.000 0.000 Si
0.600 0.600 0.000 Hf
0.400 0.400 0.000 Hf
0.250 0.750 0.500 Ge
0.750 0.250 0.500 Ge

---

24.
HfSi2Ge2, optimized geometry, DFT PBE-GGA; crystal system = tetragonal; raw total energy = -29.2 eV per cell; V = 91.5 Å³/f.u.
1.0
-1.854 1.854 6.653
1.854 -1.854 6.653
1.854 1.854 -6.653
Ge Hf Si
2 1 2
direct
0.250 0.750 0.500 Ge
0.750 0.250 0.500 Ge
0.000 0.000 0.000 Hf
0.589 0.589 0.000 Si
0.411 0.411 0.000 Si

---

25.
HfSn2Ge, optimized geometry, DFT PBE-GGA; crystal system = cubic; raw total energy = -21.6 eV per cell; V = 92.9 Å³/f.u.
1.0
0.000 3.595 3.595
3.595 0.000 3.595
3.595 3.595 0.000
Ge Hf Sn
1 1 2
direct
0.500 0.500 0.500 Ge
0.250 0.250 0.250 Hf
0.000 0.000 0.000 Sn
0.750 0.750 0.750 Sn

---

Number 1: calculated density 14.39 Mg/m³. Number 2: calculated density 14.09 Mg/m³. Number 3: calculated density 14.08 Mg/m³. Number 4: calculated density 12.61 Mg/m³. Number 5: calculated density 15.17 Mg/m³. Number 6: calculated density 11.57 Mg/m³. Number 7: calculated density 7.84 Mg/m³. Number 8: calculated density 6.07 Mg/m³. Number 9: calculated density 6.27 Mg/m³. Number 10: calculated density 12.33 Mg/m³. Number 11: calculated density 13.27 Mg/m³. Number 12: calculated density 15.93 Mg/m³. Number 13: calculated density 14.57 Mg/m³. Number 14: calculated density 8.97 Mg/m³. Number 15: calculated density 8.60 Mg/m³. Number 16: calculated density 9.63 Mg/m³. Number 17: calculated density 8.56 Mg/m³. Number 18: calculated density 9.60 Mg/m³. Number 19: calculated density 7.57 Mg/m³. Number 20: calculated density 7.82 Mg/m³. Number 21: calculated density 11.84 Mg/m³. Number 22: calculated density 8.08 Mg/m³. Number 23: calculated density 9.38 Mg/m³. Number 24: calculated density 6.90 Mg/m³. Number 25: calculated density 8.73 Mg/m³.